No. 1
! YHfO2F (PBE, relaxed); values from VASP
&SYSTEM
  ibrav = 0, nat = 5, ntyp = 4
/
ATOMIC_SPECIES
Y 88.91 Y.upf
O 16.00 O.upf
Hf 178.49 Hf.upf
F 19.00 F.upf
CELL_PARAMETERS angstrom
4.4167 0.0000 0.0000
0.0000 4.4167 0.0000
0.0000 0.0000 4.2003
ATOMIC_POSITIONS crystal
Y 0.0000 0.0000 0.0000
O 0.5000 0.0000 0.0000
Hf 0.5000 0.5000 0.5000
O 0.0000 0.5000 0.0000
F 0.0000 0.0000 0.5000
! Uncorrected energy = -7.497 eV/atom
! Total magnetic moment = 1.7 μB/cell
! Uncorrected formation energy = -1.856 eV/atom
! Calculated density = 6453 kg/m3

***

No. 2
! YHfO2F (PBE, relaxed); values from VASP
&SYSTEM
  ibrav = 0, nat = 5, ntyp = 4
/
ATOMIC_SPECIES
O 16.00 O.upf
Y 88.91 Y.upf
F 19.00 F.upf
Hf 178.49 Hf.upf
CELL_PARAMETERS angstrom
-2.1557 3.3208 1.2619
-3.5462 -1.9243 -0.9943
-0.2139 -1.6207 3.8995
ATOMIC_POSITIONS crystal
O 0.5000 0.0000 0.0000
O 0.0000 0.5000 0.0000
Y 0.5000 0.5000 0.5000
F 0.0000 0.0000 0.5000
Hf 0.0000 0.0000 0.0000
! Uncorrected energy = -8.153 eV/atom
! Total magnetic moment = 1.2 μB/cell
! Uncorrected formation energy = -2.512 eV/atom
! Calculated density = 7242 kg/m3

***

No. 3
! YHfOF2 (PBE, relaxed); values from VASP
&SYSTEM
  ibrav = 0, nat = 5, ntyp = 4
/
ATOMIC_SPECIES
Y 88.91 Y.upf
Hf 178.49 Hf.upf
F 19.00 F.upf
O 16.00 O.upf
CELL_PARAMETERS angstrom
4.3842 0.0000 0.0000
0.0000 4.3842 0.0000
0.0000 0.0000 4.5393
ATOMIC_POSITIONS crystal
Y 0.0000 0.0000 0.0000
Hf 0.5000 0.5000 0.5000
F 0.0000 0.5000 0.0000
O 0.0000 0.0000 0.5000
F 0.5000 0.0000 0.0000
! Uncorrected energy = -6.945 eV/atom
! Energy relative to the lowest polymorph listed for this composition = 262.0 meV per atom
! Total magnetic moment = 2.4 μB/cell
! Uncorrected formation energy = -1.921 eV/atom
! Calculated density = 6117 kg/m3